# 1
VASP calculation (GGA-PBE) on crystalline KNaHo2Cl8 at its relaxed geometry.

Lattice parameters (Å, degrees): 6.722 8.241 6.846 90.00 94.23 90.00
Space group P2/m (No. 10)
Unique sites:
K 0.000 0.000 0.000 [1 per cell]
Na 0.000 0.500 0.000 [1 per cell]
Ho 0.500 0.254 0.500 [2 per cell]
Cl 0.234 0.268 0.209 [4 per cell]
Cl 0.309 0.500 0.666 [2 per cell]
Cl 0.314 0.000 0.658 [2 per cell]

The calculation puts the total energy at -4.336 eV per atom. For the formation energy (no corrections), the calculation gives -25.688 eV/f.u. For the total magnetic moment, the calculation gives 0.00 μB per formula unit.

---

# 2
VASP calculation (GGA-PBE) on crystalline Sr2LiBe at its relaxed geometry.

Lattice parameters (Å, degrees): 7.934 4.077 9.383 90.00 101.01 90.00
Space group C2/m (No. 12)
Unique sites:
Sr 0.230 0.000 0.201 [4 per cell]
Li 0.000 0.000 0.500 [2 per cell]
Be 0.000 0.500 0.000 [2 per cell]

The calculation puts the total energy at -1.812 eV per atom. The value obtained for the formation energy is 0.439 eV per atom. For the total magnetic moment, the calculation gives 0.40 μB per formula unit.

---

# 3
VASP calculation (GGA-PBE) on crystalline PrGa3PdRu at its relaxed geometry.

Lattice parameters (Å, degrees): 7.824 11.018 5.931 90.00 90.00 90.00
Space group Cmcm (No. 63)
Unique sites:
Pr 0.000 0.218 0.250 [4 per cell]
Ga 0.000 0.281 0.750 [4 per cell]
Ga 0.239 0.000 0.000 [8 per cell]
Pd 0.000 0.499 0.750 [4 per cell]
Ru 0.000 0.067 0.750 [4 per cell]

The calculation puts the total energy at -5.121 eV per atom. The value obtained for the formation energy is -0.400 eV per atom. For the total magnetic moment, the calculation gives 0.00 μB per formula unit.

---

# 4
VASP calculation (GGA-PBE) on crystalline LuUAu2 at its relaxed geometry.

Lattice parameters (Å, degrees): 3.410 3.410 7.693 90.00 90.00 90.00
Space group P4/mmm (No. 123)
Unique sites:
Lu 0.000 0.000 0.000 [1 per cell]
U 0.000 0.000 0.500 [1 per cell]
Au 0.500 0.500 0.230 [2 per cell]

The calculation puts the total energy at -6.012 eV per atom. The value obtained for the formation energy is -0.421 eV per atom. For the total magnetic moment, the calculation gives 3.12 μB per formula unit.

---

# 5
VASP calculation (GGA-PBE) on crystalline Ce8GaAu2 at its relaxed geometry.

Lattice parameters (Å, degrees): 15.299 5.113 7.263 90.00 111.22 90.00
Space group C2/m (No. 12)
Unique sites:
Ce 0.051 0.000 0.281 [4 per cell]
Ce 0.087 0.500 0.981 [4 per cell]
Ce 0.135 0.000 0.684 [4 per cell]
Ce 0.180 0.500 0.396 [4 per cell]
Ga 0.000 0.500 0.500 [2 per cell]
Au 0.227 0.000 0.141 [4 per cell]

The calculation puts the total energy at -5.482 eV per atom. The value obtained for the formation energy is -0.295 eV per atom. Its offset from the most stable computed form is 0.000 eV per atom. For the total magnetic moment, the calculation gives 0.00 μB per formula unit.

---

# 6
VASP calculation (GGA-PBE) on crystalline Sr2Mg2Tl at its relaxed geometry.

Lattice parameters (Å, degrees): 12.262 5.020 12.466 90.00 115.42 90.00
Space group C2/m (No. 12)
Unique sites:
Sr 0.010 0.000 0.335 [4 per cell]
Sr 0.197 0.000 0.113 [4 per cell]
Mg 0.010 0.500 0.884 [4 per cell]
Mg 0.153 0.500 0.552 [4 per cell]
Tl 0.223 0.500 0.335 [4 per cell]

The calculation puts the total energy at -1.959 eV per atom. The value obtained for the formation energy is -0.175 eV per atom. Its offset from the most stable computed form is 0.000 eV per atom. For the total magnetic moment, the calculation gives 0.00 μB per formula unit.

---

# 7
VASP calculation (GGA-PBE) on crystalline CaGeCl6 at its relaxed geometry.

Lattice parameters (Å, degrees): 6.418 12.341 6.353 90.00 105.98 90.00
Space group C2/m (No. 12)
Unique sites:
Ca 0.000 0.000 0.000 [2 per cell]
Ge 0.000 0.500 0.500 [2 per cell]
Cl 0.209 0.365 0.716 [8 per cell]
Cl 0.232 0.500 0.274 [4 per cell]

The calculation puts the total energy at -3.504 eV per atom. For the formation energy (no corrections), the calculation gives -10.333 eV/f.u. For the total magnetic moment, the calculation gives 0.00 μB per formula unit.

---

# 8
VASP calculation (GGA-PBE) on crystalline Ce2TlTe at its relaxed geometry.

Lattice parameters (Å, degrees): 4.3701 4.3701 23.7174 90.00 90.00 120.00
Space group R-3m (No. 166, hexagonal axes)
Unique sites:
Ce 0.0000 0.0000 0.2475 [6 per cell]
Tl 0.0000 0.0000 0.0000 [3 per cell]
Te 0.0000 0.0000 0.5000 [3 per cell]

The calculation puts the total energy at -5.036 eV per atom. For the formation energy (no corrections), the calculation gives -2.770 eV/f.u. Its offset from the most stable computed form is 0.002 eV per atom. For the total magnetic moment, the calculation gives 2.19 μB per formula unit.

---

# 9
VASP calculation (GGA-PBE) on crystalline ZnRe2Se at its relaxed geometry.

Lattice parameters (Å, degrees): 2.988 4.172 10.151 90.00 90.00 90.00
Space group Imm2 (No. 44)
Unique sites:
Zn 0.000 0.000 0.000 [2 per cell]
Re 0.000 0.000 0.540 [2 per cell]
Re 0.000 0.500 0.819 [2 per cell]
Se 0.000 0.500 0.245 [2 per cell]

The calculation puts the total energy at -6.874 eV per atom. For the formation energy (no corrections), the calculation gives 2.160 eV/f.u. Its offset from the most stable computed form is 0.343 eV per atom. For the total magnetic moment, the calculation gives 0.00 μB per formula unit.

---

# 10
VASP calculation (GGA-PBE) on crystalline ZrBe6 at its relaxed geometry.

Lattice parameters (Å, degrees): 7.248 4.290 9.103 90.00 90.00 90.00
Space group Pnma (No. 62)
Unique sites:
Zr 0.228 0.250 0.057 [4 per cell]
Be 0.046 0.750 0.112 [4 per cell]
Be 0.063 0.006 0.312 [8 per cell]
Be 0.074 0.250 0.519 [4 per cell]
Be 0.145 0.750 0.851 [4 per cell]
Be 0.199 0.250 0.743 [4 per cell]

The calculation puts the total energy at -4.582 eV per atom. The value obtained for the formation energy is -0.167 eV per atom. For the total magnetic moment, the calculation gives 0.00 μB per formula unit.

---

# 11
VASP calculation (GGA-PBE) on crystalline Co2SiH at its relaxed geometry.

Lattice parameters (Å, degrees): 5.376 5.376 4.928 90.00 90.00 90.00
Space group I-42d (No. 122)
Unique sites:
Co 0.160 0.250 0.125 [8 per cell]
Si 0.000 0.000 0.500 [4 per cell]
H 0.000 0.000 0.000 [4 per cell]

The calculation puts the total energy at -5.894 eV per atom. Its offset from the most stable computed form is 0.000 eV per atom. For the total magnetic moment, the calculation gives 0.98 μB per formula unit.

---

# 12
VASP calculation (GGA-PBE) on crystalline LaTlCdSn at its relaxed geometry.

Lattice parameters (Å, degrees): 4.649 4.785 5.004 90.00 90.00 90.00
Space group Pmmm (No. 47)
Unique sites:
La 0.000 0.000 0.000 [1 per cell]
Tl 0.500 0.000 0.500 [1 per cell]
Cd 0.000 0.500 0.500 [1 per cell]
Sn 0.500 0.500 0.000 [1 per cell]

The calculation puts the total energy at -3.504 eV per atom. The value obtained for the formation energy is -0.451 eV per atom. Its offset from the most stable computed form is 0.000 eV per atom. For the total magnetic moment, the calculation gives 0.00 μB per formula unit.

---

The records above yield volume values of 31.52, 37.24, 21.30, 22.36, 24.08, 34.65, 30.23, 32.69, 15.82, 10.11, 8.90, 27.83 Å³ per atom, respectively.